Record 1
Zr2B: optimized geometry, GGA-PBE.

Output
As for the total energy: -193.74 eV per cell. Its magnetization is 0.002 μB/f.u.

a b c (Å): 7.4157 4.6641 12.5945
angles (deg): 90.00 93.98 90.00
Fractional coordinates of all 24 atoms:
Zr 0.0101 0.2500 0.4276
Zr 0.0293 0.7500 0.8020
Zr 0.1521 0.2500 0.9678
Zr 0.2702 0.7500 0.1583
Zr 0.2707 0.2500 0.6914
Zr 0.3504 0.7500 0.4862
Zr 0.3731 0.2500 0.3204
Zr 0.4265 0.7500 0.8933
Zr 0.5735 0.2500 0.1067
Zr 0.6269 0.7500 0.6796
Zr 0.6496 0.2500 0.5138
Zr 0.7293 0.7500 0.3086
Zr 0.7298 0.2500 0.8417
Zr 0.8479 0.7500 0.0322
Zr 0.9707 0.2500 0.1980
Zr 0.9899 0.7500 0.5724
B 0.0869 0.7500 0.3364
B 0.2721 0.2500 0.1405
B 0.2990 0.7500 0.6976
B 0.3144 0.2500 0.5050
B 0.6856 0.7500 0.4950
B 0.7010 0.2500 0.3024
B 0.7279 0.7500 0.8595
B 0.9131 0.2500 0.6636



Record 2
Zr2B: optimized geometry, GGA-PBE.

Output
As for the total energy: -47.52 eV per cell. Its magnetization is 0.012 μB/f.u.

a b c (Å): 7.4597 7.4597 4.7131
angles (deg): 90.00 90.00 156.61
Fractional coordinates of all 6 atoms:
Zr 0.0667 0.9333 0.7500
Zr 0.1956 0.8044 0.2500
Zr 0.8044 0.1956 0.7500
Zr 0.9333 0.0667 0.2500
B 0.4331 0.5669 0.7500
B 0.5669 0.4331 0.2500



Record 3
Zr2B: optimized geometry, GGA-PBE.

Output
As for the total energy: -48.24 eV per cell. Its magnetization is 0.000 μB/f.u.

a b c (Å): 6.1417 6.1417 3.3780
angles (deg): 90.00 90.00 120.00
Fractional coordinates of all 6 atoms:
Zr 0.0000 0.0000 0.0000
Zr 0.0000 0.5204 0.5000
Zr 0.4796 0.4796 0.5000
Zr 0.5204 0.0000 0.5000
B 0.3333 0.6667 0.0000
B 0.6667 0.3333 0.0000



Record 4
Zr2B: optimized geometry, GGA-PBE.

Output
As for the total energy: -38.78 eV per cell. Its magnetization is 0.001 μB/f.u.

a b c (Å): 5.4618 5.4618 5.4618
angles (deg): 60.00 60.00 60.00
Fractional coordinates of all 6 atoms:
Zr 0.0000 0.0000 0.0000
Zr 0.0000 0.0000 0.5000
Zr 0.0000 0.5000 0.0000
Zr 0.5000 0.0000 0.0000
B 0.3750 0.3750 0.3750
B 0.6250 0.6250 0.6250



Record 5
BaBeCoBi: optimized geometry, GGA-PBE.

Output
As for the total energy: -13.67 eV per cell. The calculation puts the distance to the lowest polymorph of the same formula at 226 meV/atom. Its magnetization is 1.807 μB/f.u.

a b c (Å): 5.2391 5.2391 5.2391
angles (deg): 60.00 60.00 60.00
Fractional coordinates of all 4 atoms:
Ba 0.0000 0.0000 0.0000
Be 0.5000 0.5000 0.5000
Co 0.2500 0.2500 0.2500
Bi 0.7500 0.7500 0.7500



Record 6
BaBeCoBi: optimized geometry, GGA-PBE.

Output
As for the total energy: -14.58 eV per cell. The calculation puts the distance to the lowest polymorph of the same formula at 0 meV/atom. Its magnetization is 1.219 μB/f.u.

a b c (Å): 5.0541 5.0541 5.0541
angles (deg): 60.00 60.00 60.00
Fractional coordinates of all 4 atoms:
Ba 0.0000 0.0000 0.0000
Be 0.2500 0.2500 0.2500
Co 0.7500 0.7500 0.7500
Bi 0.5000 0.5000 0.5000